The following is a DFT calculation (PBE-GGA) of CsCdH6Pt after structural relaxation.

abc: 5.0308 5.0308 6.3042
angles: 90.00 90.00 120.00
Space group P312 (No. 149)
Asymmetric unit:
Cs (0.0000, 0.0000, 0.0000)
Cd (0.3333, 0.6667, 0.5000)
H (0.4224, 0.0573, 0.6713)
Pt (0.6667, 0.3333, 0.5000)

Calculated values
Final energy in eV/atom: -3.21
Theoretical density in g/cm3: 5.36
Spin magnetization in μB/f.u.: 0.00


The following is a DFT calculation (PBE-GGA) of SrTmCu2S4 after structural relaxation.

abc: 6.590 6.590 7.845
angles: 90.00 90.00 90.00
Space group I-42m (No. 121)
Asymmetric unit:
Sr (0.000, 0.000, 0.000)
Tm (0.000, 0.000, 0.500)
Cu (0.000, 0.500, 0.250)
S (0.220, 0.220, 0.705)

Calculated values
Formation energy from raw total energies in kJ per mole of atoms: -110.1
Final energy in eV/atom: -5.00
Theoretical density in g/cm3: 4.99
Spin magnetization in μB/f.u.: 0.00


The following is a DFT calculation (PBE-GGA) of NaHN after structural relaxation.

abc: 2.573 6.824 6.641
angles: 90.00 90.00 90.00
Space group Cmcm (No. 63)
Asymmetric unit:
Na (0.000, 0.000, 0.000)
H (0.000, 0.244, 0.250)
N (0.000, 0.282, 0.750)

Calculated values
Final energy in eV/atom: -3.88
Theoretical density in g/cm3: 2.16
Spin magnetization in μB/f.u.: 0.75


The following is a DFT calculation (PBE-GGA) of KYHf after structural relaxation.

abc: 4.512 4.519 12.779
angles: 79.85 90.00 90.00
Space group P1 (No. 1)
Asymmetric unit:
K (0.000, 0.000, 0.000)
K (0.499, 0.361, 0.284)
Y (0.497, 0.141, 0.719)
Y (0.997, 0.641, 0.720)
Hf (0.497, 0.730, 0.541)
Hf (0.997, 0.230, 0.542)

Calculated values
Final energy in eV/atom: -5.41
Energy of formation from the pure elements in eV per atom: 0.432
Theoretical density in g/cm3: 3.97
Spin magnetization in μB/f.u.: 0.00


The following is a DFT calculation (PBE-GGA) of Ag5BiAu2 after structural relaxation.

abc: 3.015 9.339 11.220
angles: 90.00 90.00 90.00
Space group Immm (No. 71)
Asymmetric unit:
Ag (0.000, 0.000, 0.000)
Ag (0.000, 0.275, 0.369)
Bi (0.000, 0.500, 0.000)
Au (0.000, 0.000, 0.252)

Calculated values
Final energy in eV/atom: -3.04
Energy of formation from the pure elements in eV per atom: 0.046
Theoretical density in g/cm3: 12.01
Spin magnetization in μB/f.u.: 0.00


The following is a DFT calculation (PBE-GGA) of Dy2Al2AgPd5 after structural relaxation.

abc: 9.956 9.956 3.670
angles: 90.00 90.00 90.00
Space group P4/mbm (No. 127)
Asymmetric unit:
Dy (0.179, 0.321, 0.000)
Al (0.119, 0.619, 0.000)
Ag (0.000, 0.000, 0.000)
Pd (0.000, 0.500, 0.500)
Pd (0.066, 0.790, 0.500)

Calculated values
Final energy in eV/atom: -5.24
Energy of formation from the pure elements in eV per atom: -0.685
Theoretical density in g/cm3: 9.30
Spin magnetization in μB/f.u.: 0.00


The following is a DFT calculation (PBE-GGA) of TbSmDy2Te5 after structural relaxation.

abc: 5.560 5.560 11.717
angles: 90.00 90.00 90.00
Space group P4/mmm (No. 123)
Asymmetric unit:
Tb (0.000, 0.000, 0.000)
Sm (0.000, 0.000, 0.500)
Dy (0.500, 0.500, 0.146)
Te (0.000, 0.000, 0.252)
Te (0.000, 0.500, 0.000)
Te (0.500, 0.500, 0.500)

Calculated values
Formation energy from raw total energies in kJ per mole of atoms: -63.5
Final energy in eV/atom: -4.46
Theoretical density in g/cm3: 5.83
Spin magnetization in μB/f.u.: 0.59


The following is a DFT calculation (PBE-GGA) of KVSe2 after structural relaxation.

abc: 4.802 21.875 4.899
angles: 90.00 90.00 90.00
Space group Cmcm (No. 63)
Asymmetric unit:
K (0.000, 0.168, 0.250)
V (0.000, 0.429, 0.250)
Se (0.000, 0.323, 0.250)
Se (0.000, 0.453, 0.750)

Calculated values
Formation energy from raw total energies in kJ per mole of atoms: -59.8
Final energy in eV/atom: -4.92
Theoretical density in g/cm3: 3.20
Spin magnetization in μB/f.u.: 2.00


The following is a DFT calculation (PBE-GGA) of SiBrF2 after structural relaxation.

abc: 3.3768 3.3768 27.7753
angles: 90.00 90.00 120.00
Space group R-3m (No. 166, hexagonal axes)
Asymmetric unit:
Si (0.0000, 0.0000, 0.0000)
Br (0.0000, 0.0000, 0.5000)
F (0.0000, 0.0000, 0.3688)

Calculated values
Formation energy from raw total energies in kJ per mole of atoms: -98.1
Final energy in eV/atom: -3.73
Theoretical density in g/cm3: 2.65
Spin magnetization in μB/f.u.: 0.00


The following is a DFT calculation (PBE-GGA) of Ac2SnRh after structural relaxation.

abc: 4.651 25.254 4.428
angles: 90.00 90.00 90.00
Space group Cmcm (No. 63)
Asymmetric unit:
Ac (0.000, 0.078, 0.250)
Ac (0.000, 0.306, 0.250)
Sn (0.000, 0.461, 0.250)
Rh (0.000, 0.189, 0.250)

Calculated values
Final energy in eV/atom: -5.52
Energy of formation from the pure elements in eV per atom: -0.629
Theoretical density in g/cm3: 8.63
Spin magnetization in μB/f.u.: 0.00


The following is a DFT calculation (PBE-GGA) of PmNbV4 after structural relaxation.

abc: 7.391 7.391 7.391
angles: 90.00 90.00 90.00
Space group F-43m (No. 216)
Asymmetric unit:
Pm (0.000, 0.000, 0.000)
Nb (0.250, 0.250, 0.750)
V (0.124, 0.124, 0.376)

Calculated values
Final energy in eV/atom: -8.27
Energy of formation from the pure elements in eV per atom: 0.276
Theoretical density in g/cm3: 7.27
Spin magnetization in μB/f.u.: 0.00


The following is a DFT calculation (PBE-GGA) of KCr2Fe after structural relaxation.

abc: 6.719 6.719 6.719
angles: 90.00 90.00 90.00
Space group F-43m (No. 216)
Asymmetric unit:
K (0.000, 0.000, 0.000)
Cr (0.000, 0.000, 0.500)
Cr (0.250, 0.250, 0.250)
Fe (0.250, 0.250, 0.750)

Calculated values
Final energy in eV/atom: -5.86
Energy of formation from the pure elements in eV per atom: 1.345
Theoretical density in g/cm3: 4.36
Spin magnetization in μB/f.u.: 3.03


The following is a DFT calculation (PBE-GGA) of Ti4Ga2Si after structural relaxation.

abc: 4.777 2.833 8.937
angles: 90.00 100.28 90.00
Space group P2/m (No. 10)
Asymmetric unit:
Ti (0.093, 0.000, 0.157)
Ti (0.339, 0.500, 0.745)
Ga (0.218, 0.500, 0.425)
Si (0.500, 0.000, 0.000)

Calculated values
Formation energy from raw total energies in kJ per mole of atoms: -9.4
Final energy in eV/atom: -6.25
Theoretical density in g/cm3: 5.01
Spin magnetization in μB/f.u.: 0.00


The following is a DFT calculation (PBE-GGA) of SrScTe2 after structural relaxation.

abc: 4.7882 4.7882 27.1412
angles: 90.00 90.00 120.00
Space group R-3m (No. 166, hexagonal axes)
Asymmetric unit:
Sr (0.0000, 0.0000, 0.0000)
Sc (0.0000, 0.0000, 0.5000)
Te (0.0000, 0.0000, 0.4009)

Calculated values
Formation energy from raw total energies in kJ per mole of atoms: -75.8
Final energy in eV/atom: -4.36
Theoretical density in g/cm3: 3.58
Spin magnetization in μB/f.u.: 0.68


The following is a DFT calculation (PBE-GGA) of DyHo7Cd2 after structural relaxation.

abc: 8.918 15.678 5.213
angles: 90.00 90.00 90.00
Space group Cmmm (No. 65)
Asymmetric unit:
Dy (0.000, 0.000, 0.000)
Ho (0.000, 0.223, 0.000)
Ho (0.000, 0.500, 0.500)
Ho (0.182, 0.117, 0.500)
Cd (0.000, 0.304, 0.500)

Calculated values
Final energy in eV/atom: -3.43
Energy of formation from the pure elements in eV per atom: 0.420
Theoretical density in g/cm3: 7.03
Spin magnetization in μB/f.u.: 0.07


The following is a DFT calculation (PBE-GGA) of La3YRe after structural relaxation.

abc: 5.624 5.624 5.624
angles: 90.00 90.00 90.00
Space group Pm-3m (No. 221)
Asymmetric unit:
La (0.000, 0.000, 0.500)
Y (0.500, 0.500, 0.500)
Re (0.000, 0.000, 0.000)

Calculated values
Final energy in eV/atom: -6.48
Energy of formation from the pure elements in eV per atom: 0.264
Theoretical density in g/cm3: 6.46
Spin magnetization in μB/f.u.: 0.00


The following is a DFT calculation (PBE-GGA) of AlPd3 after structural relaxation.

abc: 3.909 3.909 3.909
angles: 90.00 90.00 90.00
Space group Pm-3m (No. 221)
Asymmetric unit:
Al (0.000, 0.000, 0.000)
Pd (0.000, 0.500, 0.500)

Calculated values
Final energy in eV/atom: -5.43
Energy of formation from the pure elements in eV per atom: -0.601
Theoretical density in g/cm3: 9.63
Spin magnetization in μB/f.u.: 0.00


The following is a DFT calculation (PBE-GGA) of Sr2AlSnS after structural relaxation.

abc: 6.387 6.387 5.042
angles: 90.00 90.00 90.00
Space group P4/mmm (No. 123)
Asymmetric unit:
Sr (0.000, 0.500, 0.000)
Al (0.000, 0.000, 0.500)
Sn (0.500, 0.500, 0.000)
S (0.500, 0.500, 0.500)

Calculated values
Formation energy from raw total energies in kJ per mole of atoms: 18.9
Final energy in eV/atom: -2.85
Theoretical density in g/cm3: 2.85
Spin magnetization in μB/f.u.: 1.19


The following is a DFT calculation (PBE-GGA) of LiMg4Tl7 after structural relaxation.

abc: 14.792 5.572 9.318
angles: 90.00 122.79 90.00
Space group C2/m (No. 12)
Asymmetric unit:
Li (0.000, 0.000, 0.000)
Mg (0.051, 0.500, 0.713)
Mg (0.183, 0.500, 0.359)
Tl (0.000, 0.500, 0.000)
Tl (0.071, 0.000, 0.409)
Tl (0.199, 0.000, 0.872)
Tl (0.237, 0.000, 0.263)

Calculated values
Final energy in eV/atom: -2.06
Energy of formation from the pure elements in eV per atom: 0.016
Theoretical density in g/cm3: 7.90
Spin magnetization in μB/f.u.: 0.00


The following is a DFT calculation (PBE-GGA) of LaPmZnCd after structural relaxation.

abc: 3.765 3.765 7.703
angles: 90.00 90.00 90.00
Space group P4mm (No. 99)
Asymmetric unit:
La (0.000, 0.000, 0.000)
Pm (0.000, 0.000, 0.459)
Zn (0.500, 0.500, 0.242)
Cd (0.500, 0.500, 0.718)

Calculated values
Final energy in eV/atom: -3.29
Energy of formation from the pure elements in eV per atom: -0.323
Theoretical density in g/cm3: 7.02
Spin magnetization in μB/f.u.: 0.00


The following is a DFT calculation (PBE-GGA) of Sm2InAgTe4 after structural relaxation.

abc: 4.467 15.038 15.778
angles: 90.00 90.00 90.00
Space group Cmcm (No. 63)
Asymmetric unit:
Sm (0.000, 0.132, 0.071)
In (0.000, 0.374, 0.250)
Ag (0.000, 0.346, 0.750)
Te (0.000, 0.042, 0.250)
Te (0.000, 0.227, 0.611)
Te (0.000, 0.500, 0.000)

Calculated values
Formation energy from raw total energies in kJ per mole of atoms: -91.6
Final energy in eV/atom: -4.40
Theoretical density in g/cm3: 6.48
Spin magnetization in μB/f.u.: 0.00


The following is a DFT calculation (PBE-GGA) of La2Sc after structural relaxation.

abc: 10.908 6.303 6.798
angles: 90.00 123.02 90.00
Space group C2/c (No. 15)
Asymmetric unit:
La (0.171, 0.092, 0.233)
Sc (0.000, 0.434, 0.750)

Calculated values
Final energy in eV/atom: -5.33
Energy of formation from the pure elements in eV per atom: 0.068
Theoretical density in g/cm3: 5.47
Spin magnetization in μB/f.u.: 0.00


The following is a DFT calculation (PBE-GGA) of Y2SnMo after structural relaxation.

abc: 4.447 4.447 20.938
angles: 90.00 90.00 90.00
Space group I-42d (No. 122)
Asymmetric unit:
Y (0.242, 0.250, 0.125)
Sn (0.000, 0.000, 0.500)
Mo (0.000, 0.000, 0.000)

Calculated values
Final energy in eV/atom: -6.35
Energy of formation from the pure elements in eV per atom: 0.594
Theoretical density in g/cm3: 6.30
Spin magnetization in μB/f.u.: 1.36


The following is a DFT calculation (PBE-GGA) of NiHgBPC after structural relaxation.

abc: 3.1231 3.1231 23.3287
angles: 90.00 90.00 120.00
Space group R3m (No. 160, hexagonal axes)
Asymmetric unit:
Ni (0.0000, 0.0000, 0.0000)
Hg (0.0000, 0.0000, 0.5680)
B (0.0000, 0.0000, 0.4686)
P (0.0000, 0.0000, 0.7761)
C (0.0000, 0.0000, 0.6977)

Calculated values
Final energy in eV/atom: -5.16
Energy of formation from the pure elements in eV per atom: 0.323
Theoretical density in g/cm3: 7.91
Spin magnetization in μB/f.u.: 0.00